Version P
Th2RuN: optimized geometry, PBE.

Cell and atoms, written as extended XYZ:
```
16
Lattice="5.734 0.000 0.000 0.000 5.508 0.000 -4.707 0.000 10.726" Properties=species:S:1:pos:R:3 pbc="T T T"
Th -0.077 1.352 1.131
Th -2.431 4.156 6.495
Th -2.080 1.530 9.207
Th 0.273 3.978 3.844
Th 0.753 1.530 6.883
Th 3.107 3.978 1.519
Th 3.458 1.352 4.232
Th 1.104 4.156 9.595
Ru 0.625 1.249 3.851
Ru -1.729 4.259 9.214
Ru 2.756 1.249 1.512
Ru 0.402 4.259 6.875
N -2.621 1.698 6.650
N -0.267 3.809 1.287
N 1.294 1.698 9.440
N 3.648 3.809 4.077
```

- magnetic moment (μB/atom) = 0.00

Version Q
Th2RuN: optimized geometry, PBE.

Cell and atoms, written as extended XYZ:
```
12
Lattice="3.829 0.000 0.000 -1.915 3.316 0.000 0.000 0.000 19.811" Properties=species:S:1:pos:R:3 pbc="T T T"
Th 0.000 0.000 4.796
Th 0.000 0.000 15.015
Th 0.000 2.211 8.411
Th 0.000 2.211 18.003
Th 1.915 1.105 1.808
Th 1.915 1.105 11.400
Ru 0.000 0.000 0.000
Ru 0.000 2.211 13.207
Ru 1.915 1.105 6.604
N 0.000 0.000 9.906
N 0.000 2.211 3.302
N 1.915 1.105 16.509
```

- magnetic moment (μB/atom) = 0.00

The structure with the most favorable energy is version P; the runner-up is 0.152 eV/atom above it.

Version P
TiRuN2: optimized geometry, PBE.

Cell and atoms, written as extended XYZ:
```
12
Lattice="2.982 0.000 0.000 -1.491 2.583 0.000 0.000 0.000 18.219" Properties=species:S:1:pos:R:3 pbc="T T T"
Ti 0.000 0.000 0.000
Ti 0.000 1.722 12.146
Ti 1.491 0.861 6.073
Ru 0.000 0.000 9.110
Ru 0.000 1.722 3.037
Ru 1.491 0.861 15.183
N 0.000 0.000 7.186
N 0.000 0.000 11.033
N 0.000 1.722 1.113
N 0.000 1.722 4.960
N 1.491 0.861 13.259
N 1.491 0.861 17.106
```

- magnetic moment (μB/atom) = 0.38

Version Q
TiRuN2: optimized geometry, PBE.

Cell and atoms, written as extended XYZ:
```
16
Lattice="4.546 0.000 0.000 0.000 4.546 0.000 0.000 0.000 9.340" Properties=species:S:1:pos:R:3 pbc="T T T"
Ti 0.000 0.000 0.000
Ti 0.000 2.273 2.335
Ti 2.273 0.000 7.005
Ti 2.273 2.273 4.670
Ru 0.000 0.000 4.670
Ru 0.000 2.273 7.005
Ru 2.273 0.000 2.335
Ru 2.273 2.273 0.000
N 1.110 1.137 1.167
N 1.137 3.383 3.502
N 1.137 3.437 8.172
N 1.164 1.137 5.837
N 3.383 3.410 5.837
N 3.410 1.110 8.172
N 3.410 1.164 3.502
N 3.437 3.410 1.167
```

- magnetic moment (μB/atom) = 0.00

The structure with the most favorable energy is version Q; the runner-up is 0.200 eV/atom above it.

Version P
TlRu3N: optimized geometry, PBE.

Cell and atoms, written as extended XYZ:
```
5
Lattice="4.127 0.000 0.000 0.000 4.127 0.000 0.000 0.000 4.127" Properties=species:S:1:pos:R:3 pbc="T T T"
Tl 0.000 0.000 0.000
Ru 0.000 2.064 2.064
Ru 2.064 0.000 2.064
Ru 2.064 2.064 0.000
N 2.064 2.064 2.064
```

- magnetic moment (μB/atom) = 0.00

Version Q
TlRu3N: optimized geometry, PBE.

Cell and atoms, written as extended XYZ:
```
5
Lattice="5.079 0.000 0.000 0.000 5.079 0.000 0.000 0.000 5.079" Properties=species:S:1:pos:R:3 pbc="T T T"
Tl 0.000 0.000 0.000
Ru 0.000 0.000 2.540
Ru 0.000 2.540 0.000
Ru 2.540 0.000 0.000
N 2.540 2.540 2.540
```

- magnetic moment (μB/atom) = 1.69

The structure with the most favorable energy is version P; the runner-up is 3.051 eV/atom above it.

Version P
TlRu2N: optimized geometry, PBE.

Cell and atoms, written as extended XYZ:
```
16
Lattice="6.411 0.000 0.000 0.000 6.411 0.000 0.000 0.000 6.092" Properties=species:S:1:pos:R:3 pbc="T T T"
Tl 0.000 0.000 0.000
Tl 0.000 3.205 1.523
Tl 3.205 0.000 4.569
Tl 3.205 3.205 3.046
Ru 0.780 1.603 3.808
Ru 1.603 3.985 5.331
Ru 1.603 5.631 2.285
Ru 2.426 1.603 0.762
Ru 3.985 4.808 0.762
Ru 4.808 0.780 2.285
Ru 4.808 2.426 5.331
Ru 5.631 4.808 3.808
N 0.000 0.000 3.046
N 0.000 3.205 4.569
N 3.205 0.000 1.523
N 3.205 3.205 0.000
```

- magnetic moment (μB/atom) = 0.00

Version Q
TlRu2N: optimized geometry, PBE.

Cell and atoms, written as extended XYZ:
```
16
Lattice="6.181 0.000 0.000 0.000 6.181 0.000 0.000 0.000 6.181" Properties=species:S:1:pos:R:3 pbc="T T T"
Tl 0.000 0.000 0.000
Tl 0.000 3.091 3.091
Tl 3.091 0.000 3.091
Tl 3.091 3.091 0.000
Ru 1.545 1.545 1.545
Ru 1.545 1.545 4.636
Ru 1.545 4.636 1.545
Ru 1.545 4.636 4.636
Ru 4.636 1.545 1.545
Ru 4.636 1.545 4.636
Ru 4.636 4.636 1.545
Ru 4.636 4.636 4.636
N 0.000 0.000 3.091
N 0.000 3.091 0.000
N 3.091 0.000 0.000
N 3.091 3.091 3.091
```

- magnetic moment (μB/atom) = 0.00

The structure with the most favorable energy is version P; the runner-up is 1.249 eV/atom above it.